a:
# MnReTcSe

Crystalline MnReTcSe at its relaxed geometry (PBE, the Alexandria database).

Cell: 2.9212 3.8940 10.5156 Å, 90.00 90.00 90.00°
Space group Amm2 (No. 38)
Inequivalent atoms, fractional coordinates:
Mn1 0.0000 0.0000 0.0000
Re1 0.5000 0.0000 0.4510
Tc1 0.5000 0.0000 0.1971
Se1 0.0000 0.0000 0.7754

Properties
M_tot = 0.01 μB/f.u.
Density of states at the Fermi level = 0.999 states/eV/atom


b:
# MnReTcSe

Crystalline MnReTcSe at its relaxed geometry (PBE, the Alexandria database).

Cell: 2.9675 3.0037 14.4126 Å, 90.00 90.00 90.00°
Space group Imm2 (No. 44)
Inequivalent atoms, fractional coordinates:
Mn1 0.0000 0.0000 0.0000
Re1 0.0000 0.0000 0.6152
Tc1 0.0000 0.0000 0.2241
Se1 0.0000 0.5000 0.3667

Properties
M_tot = 2.87 μB/f.u.
Density of states at the Fermi level = 0.698 states/eV/atom


c:
# MnReTcSe

Crystalline MnReTcSe at its relaxed geometry (PBE, the Alexandria database).

Cell: 10.5725 2.9346 3.8534 Å, 90.00 90.12 90.00°
Space group Cm (No. 8)
Inequivalent atoms, fractional coordinates:
Mn1 0.0000 0.0000 0.0000
Re1 0.2479 0.5000 0.9992
Tc1 0.3589 0.0000 0.4997
Se1 0.0884 0.5000 0.4987

Properties
M_tot = 2.62 μB/f.u.
Density of states at the Fermi level = 0.814 states/eV/atom


Most stable structure, least stable structure: b, a.